Here is crystalline Li2MnCoF6 at its relaxed geometry from the Alexandria database. Energies are from PBE with a Hubbard U.

E   -5.375 eV per atom

Lattice parameters (Å, degrees): 5.2356 5.2374 5.6180 62.26 89.98 60.02
Closest atoms and distances in Å follow each position.
Element x y z (fractional)
Li1 0.0000 0.0000 0.0000  3 F 1.97
Li2 0.4970 0.0084 0.4879  3 F 1.97
Mn1 0.2885 0.4236 0.8657  6 F 2.10-2.18
Co1 0.7911 0.4189 0.3727  6 F 2.05-2.10
F1 0.0778 0.2210 0.1676  1 Li 1.97, 1 Co 2.05, 1 Mn 2.17
F2 0.1964 0.2174 0.6607  1 Li 1.97, 1 Mn 2.10, 1 Co 2.10
F3 0.3886 0.5341 0.1682  1 Li 1.97, 1 Co 2.05, 1 Mn 2.17
F4 0.5872 0.5358 0.6612  1 Li 1.97, 1 Mn 2.10, 1 Co 2.10
F5 0.7022 0.9104 0.1695  1 Li 1.97, 1 Co 2.05, 1 Mn 2.18
F6 0.8777 0.9274 0.6625  1 Li 1.97, 1 Co 2.10, 1 Mn 2.10